[1]
# Pr2ErZnS5 | the Alexandria database | GGA-PBE | relaxed
# Raw formation energy in meV per atom: -1758
# Total moment in μB per atom: 0.00
# Mass density in g/cm³: 5.65
data_Pr2ErZnS5
_space_group_name_H-M_alt 'C m c 21'
_space_group_IT_number 36
_cell_length_a 3.883
_cell_length_b 17.025
_cell_length_c 12.008
_cell_angle_alpha 90.00
_cell_angle_beta 90.00
_cell_angle_gamma 90.00
loop_
_space_group_symop_operation_xyz
'x,y,z'
'-x,-y,z+1/2'
'-x,y,z'
'x,-y,z+1/2'
'x+1/2,y+1/2,z'
'-x+1/2,-y+1/2,z+1/2'
'-x+1/2,y+1/2,z'
'x+1/2,-y+1/2,z+1/2'
loop_
_atom_site_label
_atom_site_type_symbol
_atom_site_fract_x
_atom_site_fract_y
_atom_site_fract_z
_atom_site_occupancy
Pr1 Pr 0.000 0.115 0.000 1
Pr2 Pr 0.000 0.132 0.634 1
Er1 Er 0.000 0.199 0.332 1
Zn1 Zn 0.000 0.453 0.763 1
S1 S 0.000 0.042 0.368 1
S2 S 0.000 0.290 0.988 1
S3 S 0.000 0.315 0.674 1
S4 S 0.000 0.355 0.320 1
S5 S 0.000 0.494 0.089 1


[2]
# Y2ThGa | the Alexandria database | GGA-PBE | relaxed
# Total moment in μB per atom: 0.00
# Mass density in g/cm³: 7.25
# ΔH_f (0 K) in eV per atom: -0.289
data_Y2ThGa
_space_group_name_H-M_alt 'P 4/m m m'
_space_group_IT_number 123
_space_group_name_Hall '-P 4 2'
_cell_length_a 3.543
_cell_length_b 3.543
_cell_length_c 8.747
_cell_angle_alpha 90.00
_cell_angle_beta 90.00
_cell_angle_gamma 90.00
loop_
_atom_site_label
_atom_site_type_symbol
_atom_site_fract_x
_atom_site_fract_y
_atom_site_fract_z
_atom_site_occupancy
Y1 Y 0.000 0.000 0.213 1
Th1 Th 0.500 0.500 0.500 1
Ga1 Ga 0.500 0.500 0.000 1


| no. | final energy (eV/atom) |
| --- | --- |
| 1 | -5.7621 |
| 2 | -6.1332 |